No. 1
Ho5TlZn4, optimized geometry, DFT PBE-GGA; SG = P4/mmm; density = 9.24 g/cm3; E_tot = -33.82 eV for the cell shown
1.0
3.5718 0.0000 0.0000
0.0000 3.5718 0.0000
0.0000 0.0000 18.1858
Ho Tl Zn
5 1 4
Cartesian
0.0000 0.0000 0.0000
0.0000 0.0000 3.5070
0.0000 0.0000 6.9949
0.0000 0.0000 11.1910
0.0000 0.0000 14.6789
1.7859 1.7859 9.0929
1.7859 1.7859 1.7712
1.7859 1.7859 5.2392
1.7859 1.7859 12.9467
1.7859 1.7859 16.4146

No. 2
Ho3Tm, optimized geometry, DFT PBE-GGA; SG = Ama2; DFT formation energy = 0.00 eV per atom; density = 8.95 g/cm3; E_tot = -36.39 eV for the cell shown
1.0
5.5579 0.0000 0.0000
0.0000 6.1936 3.5759
0.0000 -6.1936 3.5759
Ho Tm
6 2
Cartesian
1.3895 -2.0606 1.7844
1.3895 -5.1643 3.5759
1.3895 -2.0637 5.3619
4.1684 2.0606 1.7844
4.1684 2.0637 5.3619
4.1684 5.1643 3.5759
1.3895 1.0302 3.5703
4.1684 -1.0302 3.5703

No. 3
Ho2Tm5, optimized geometry, DFT PBE-GGA; SG = C2/c; DFT formation energy = 0.00 eV per atom; density = 9.21 g/cm3; E_tot = -63.05 eV for the cell shown
1.0
7.6780 -3.0804 0.0000
7.6780 3.0804 0.0000
-0.9787 0.0000 8.9575
Ho Tm
4 10
Cartesian
5.7030 2.0506 7.9973
8.1849 2.0506 5.4390
6.1924 -2.0506 3.5185
8.6743 -2.0506 0.9602
2.4872 1.0258 7.3589
4.9524 1.0241 4.7984
7.4333 1.0272 2.2394
2.9766 -1.0258 2.8801
8.9356 1.0241 8.6379
5.4417 -1.0241 0.3197
11.4007 1.0258 6.0774
6.9440 -1.0272 6.7181
9.4249 -1.0241 4.1591
11.8901 -1.0258 1.5986